Entry 1:
DFT (GGA-PBE) results for crystalline PmSmEr3 at its relaxed geometry.

Values from the calculation:
- Formation energy from the elements: 0.295 kcal/mol of atoms
- E above lowest polymorph: 0 kJ/mol of formula units
- Crystal system: monoclinic
- Space-group type: No. 11

a b c (Å): 9.6069 5.6660 6.2867
angles (deg): 90.00 109.20 90.00
Closest atoms and distances in Å follow each position.
Atoms (fractional coordinates):
Pm 0.1994 0.4500 0.4322  10 Er 3.52-3.65, 2 Sm 3.62-3.63
Pm 0.8006 0.9500 0.5678  10 Er 3.52-3.65, 2 Sm 3.62-3.63
Sm 0.6009 0.9500 0.9662  8 Er 3.51-3.66, 2 Sm 3.54, 2 Pm 3.62-3.63
Sm 0.3991 0.4500 0.0338  8 Er 3.51-3.66, 2 Sm 3.54, 2 Pm 3.62-3.63
Er 0.1978 0.9500 0.7645  6 Er 3.52-3.64, 3 Pm 3.52-3.60, 3 Sm 3.53-3.66
Er 0.0005 0.4500 0.8365  7 Er 3.50-3.63, 4 Pm 3.53-3.65, 1 Sm 3.62
Er 0.6007 0.4500 0.6354  4 Sm 3.51-3.64, 3 Pm 3.53-3.64, 5 Er 3.54-3.64
Er 0.3993 0.9500 0.3646  4 Sm 3.51-3.64, 3 Pm 3.53-3.64, 5 Er 3.54-3.64
Er 0.9995 0.9500 0.1635  7 Er 3.50-3.63, 4 Pm 3.53-3.65, 1 Sm 3.62
Er 0.8022 0.4500 0.2355  6 Er 3.52-3.64, 3 Pm 3.52-3.60, 3 Sm 3.53-3.66

***

Entry 2:
DFT (GGA-PBE) results for crystalline Ac2ReTcN6 at its relaxed geometry.

Values from the calculation:
- Energy relative to the elements, uncorrected: -615 kJ/mol of formula units
- Crystal system: monoclinic
- Space-group type: No. 12

a b c (Å): 5.6635 5.6634 8.0667
angles (deg): 90.00 90.00 90.00
Closest atoms and distances in Å follow each position.
Atoms (fractional coordinates):
Ac 0.0000 0.0002 0.2500  12 N 2.82-2.85
Ac 0.5000 0.4998 0.7500  12 N 2.82-2.85
Ac 0.0000 0.9998 0.7500  12 N 2.82-2.85
Ac 0.5000 0.5002 0.2500  12 N 2.82-2.85
Re 0.5000 0.0000 0.5000  6 N 1.99-2.01
Re 0.0000 0.5000 0.0000  6 N 1.99-2.01
Tc 0.5000 0.0000 0.0000  6 N 2.01-2.03
Tc 0.0000 0.5000 0.5000  6 N 2.01-2.03
N 0.2490 0.7487 0.0009  1 Re 1.99, 1 Tc 2.01
N 0.7490 0.7513 0.5009  1 Re 1.99, 1 Tc 2.01
N 0.7510 0.2513 0.9991  1 Re 1.99, 1 Tc 2.01
N 0.2510 0.2487 0.4991  1 Re 1.99, 1 Tc 2.01
N 0.2513 0.7510 0.4991  1 Re 1.99, 1 Tc 2.01
N 0.7513 0.7490 0.9991  1 Re 1.99, 1 Tc 2.01
N 0.7487 0.2490 0.5009  1 Re 1.99, 1 Tc 2.01
N 0.2487 0.2510 0.0009  1 Re 1.99, 1 Tc 2.01
N 0.9981 0.5000 0.2489  1 Re 2.01, 1 Tc 2.03
N 0.4981 0.0000 0.7489  1 Re 2.01, 1 Tc 2.03
N 0.0019 0.5000 0.7511  1 Re 2.01, 1 Tc 2.03
N 0.5019 0.0000 0.2511  1 Re 2.01, 1 Tc 2.03